## i
This record from Alexandria describes a geometry-optimized LiGa3O structure. The functional is PBE.

Unit cell a=4.4888 b=4.4888 c=4.4888 alpha=90.00 beta=90.00 gamma=90.00
Positions (direct):
Li  0.0000  0.0000  0.0000
Ga  0.0000  0.5000  0.5000
Ga  0.5000  0.0000  0.5000
Ga  0.5000  0.5000  0.0000
O  0.5000  0.5000  0.5000



## ii
This record from Alexandria describes a geometry-optimized LiGa3O structure. The functional is PBE.

Unit cell a=4.4578 b=4.4578 c=4.4578 alpha=90.00 beta=90.00 gamma=90.00
Positions (direct):
Li  0.0000  0.0000  0.0000
Ga  0.0000  0.0000  0.5000
Ga  0.0000  0.5000  0.0000
Ga  0.5000  0.0000  0.0000
O  0.5000  0.5000  0.5000



Which one sits at the bottom of the stability order? ii does.



## i
This record from Alexandria describes a geometry-optimized Li3GaO3 structure. The functional is PBE.

Unit cell a=6.8702 b=6.8702 c=4.0127 alpha=90.00 beta=90.00 gamma=119.94
Positions (direct):
Li  0.1504  0.2999  0.7500
Li  0.1496  0.8504  0.7500
Li  0.2999  0.1504  0.2500
Li  0.7001  0.8496  0.7500
Li  0.8504  0.1496  0.2500
Li  0.8496  0.7001  0.2500
Ga  0.3332  0.6668  0.2500
Ga  0.6668  0.3332  0.7500
O  0.1820  0.8180  0.2500
O  0.1828  0.3648  0.2500
O  0.3648  0.1828  0.7500
O  0.6352  0.8172  0.2500
O  0.8172  0.6352  0.7500
O  0.8180  0.1820  0.7500



## ii
This record from Alexandria describes a geometry-optimized Li3GaO3 structure. The functional is PBE.

Unit cell a=9.1549 b=9.1549 c=3.5251 alpha=90.00 beta=90.00 gamma=90.00
Positions (direct):
Li  0.0951  0.3602  0.0000
Li  0.1398  0.5951  0.5000
Li  0.1743  0.1743  0.5000
Li  0.3257  0.6743  0.0000
Li  0.3602  0.0951  0.0000
Li  0.4049  0.8602  0.5000
Li  0.5951  0.1398  0.5000
Li  0.6398  0.9049  0.0000
Li  0.6743  0.3257  0.0000
Li  0.8257  0.8257  0.5000
Li  0.8602  0.4049  0.5000
Li  0.9049  0.6398  0.0000
Ga  0.1156  0.8844  0.0000
Ga  0.3844  0.3844  0.5000
Ga  0.6156  0.6156  0.5000
Ga  0.8844  0.1156  0.0000
O  0.0995  0.0995  0.0000
O  0.1104  0.6793  0.0000
O  0.1793  0.3896  0.5000
O  0.3207  0.8896  0.0000
O  0.3896  0.1793  0.5000
O  0.4005  0.5995  0.5000
O  0.5995  0.4005  0.5000
O  0.6104  0.8207  0.5000
O  0.6793  0.1104  0.0000
O  0.8207  0.6104  0.5000
O  0.8896  0.3207  0.0000
O  0.9005  0.9005  0.0000



Which one sits at the bottom of the stability order? i does.



## i
This record from Alexandria describes a geometry-optimized Li3GaO structure. The functional is PBE.

Unit cell a=3.9730 b=3.9730 c=3.9730 alpha=90.00 beta=90.00 gamma=90.00
Positions (direct):
Li  0.0000  0.0000  0.5000
Li  0.0000  0.5000  0.0000
Li  0.5000  0.0000  0.0000
Ga  0.5000  0.5000  0.5000
O  0.0000  0.0000  0.0000



## ii
This record from Alexandria describes a geometry-optimized Li3GaO structure. The functional is PBE.

Unit cell a=4.7729 b=4.7729 c=4.7729 alpha=90.00 beta=90.00 gamma=90.00
Positions (direct):
Li  0.0000  0.0000  0.5000
Li  0.0000  0.5000  0.0000
Li  0.5000  0.0000  0.0000
Ga  0.0000  0.0000  0.0000
O  0.5000  0.5000  0.5000



Which one sits at the bottom of the stability order? ii does.



## i
This record from Alexandria describes a geometry-optimized LiGaSi2O6 structure. The functional is PBE.

Unit cell a=7.6912 b=7.6912 c=5.3518 alpha=110.34 beta=110.34 gamma=91.19
Positions (direct):
Li  0.2465  0.7535  0.7500
Li  0.7535  0.2465  0.2500
Ga  0.2471  0.7529  0.2500
Ga  0.7529  0.2471  0.7500
Si  0.1705  0.3348  0.7975
Si  0.3348  0.1705  0.2975
Si  0.6652  0.8295  0.7025
Si  0.8295  0.6652  0.2025
O  0.0561  0.7327  0.3773
O  0.2260  0.5627  0.9106
O  0.2367  0.2746  0.0773
O  0.2673  0.9439  0.1227
O  0.2746  0.2367  0.5773
O  0.4373  0.7740  0.5894
O  0.5627  0.2260  0.4106
O  0.7254  0.7633  0.4227
O  0.7327  0.0561  0.8773
O  0.7633  0.7254  0.9227
O  0.7740  0.4373  0.0894
O  0.9439  0.2673  0.6227



## ii
This record from Alexandria describes a geometry-optimized LiGaSi2O6 structure. The functional is PBE.

Unit cell a=9.2855 b=8.7229 c=5.3025 alpha=90.00 beta=101.86 gamma=90.00
Positions (direct):
Li  0.2486  0.0070  0.0140
Li  0.2486  0.4930  0.5140
Li  0.7514  0.5070  0.4860
Li  0.7514  0.9930  0.9860
Ga  0.2509  0.6474  0.0164
Ga  0.2509  0.8526  0.5164
Ga  0.7491  0.1474  0.4836
Ga  0.7491  0.3526  0.9836
Si  0.0474  0.1599  0.2744
Si  0.0474  0.3401  0.7744
Si  0.4514  0.1604  0.6995
Si  0.4514  0.3396  0.1995
Si  0.5486  0.6604  0.8005
Si  0.5486  0.8396  0.3005
Si  0.9526  0.6599  0.2256
Si  0.9526  0.8401  0.7256
O  0.1078  0.2323  0.0283
O  0.1078  0.2677  0.5283
O  0.1161  0.5100  0.8045
O  0.1161  0.9900  0.3045
O  0.1351  0.6677  0.2934
O  0.1351  0.8323  0.7934
O  0.3653  0.6663  0.7365
O  0.3653  0.8337  0.2365
O  0.3767  0.5035  0.2324
O  0.3767  0.9965  0.7324
O  0.3960  0.2219  0.4027
O  0.3960  0.2781  0.9027
O  0.6040  0.7219  0.0973
O  0.6040  0.7781  0.5973
O  0.6233  0.0035  0.2676
O  0.6233  0.4965  0.7676
O  0.6347  0.1663  0.7635
O  0.6347  0.3337  0.2635
O  0.8649  0.1677  0.2066
O  0.8649  0.3323  0.7066
O  0.8839  0.0100  0.6955
O  0.8839  0.4900  0.1955
O  0.8922  0.7323  0.4717
O  0.8922  0.7677  0.9717



Which one sits at the bottom of the stability order? ii does.



## i
This record from Alexandria describes a geometry-optimized LiGa2OsRu structure. The functional is PBE.

Unit cell a=4.6816 b=4.6816 c=4.4936 alpha=90.00 beta=90.00 gamma=90.00
Positions (direct):
Li  0.0000  0.0000  0.0000
Ga  0.0000  0.5000  0.5000
Ga  0.5000  0.0000  0.5000
Os  0.0000  0.0000  0.5000
Ru  0.5000  0.5000  0.0000



## ii
This record from Alexandria describes a geometry-optimized LiGa2OsRu structure. The functional is PBE.

Unit cell a=4.2292 b=4.2292 c=4.0642 alpha=90.00 beta=90.00 gamma=90.00
Positions (direct):
Li  0.0000  0.0000  0.0000
Ga  0.0000  0.5000  0.0000
Ga  0.5000  0.0000  0.0000
Os  0.5000  0.5000  0.5000
Ru  0.0000  0.0000  0.5000



Which one sits at the bottom of the stability order? i does.



## i
This record from Alexandria describes a geometry-optimized LiY2GaP structure. The functional is PBE.

Unit cell a=5.5025 b=5.5025 c=4.5986 alpha=90.00 beta=90.00 gamma=90.00
Positions (direct):
Li  0.0000  0.0000  0.0000
Y  0.0000  0.5000  0.5000
Y  0.5000  0.0000  0.5000
Ga  0.5000  0.5000  0.5000
P  0.5000  0.5000  0.0000



## ii
This record from Alexandria describes a geometry-optimized LiY2GaP structure. The functional is PBE.

Unit cell a=5.3569 b=5.3569 c=4.4306 alpha=90.00 beta=90.00 gamma=90.00
Positions (direct):
Li  0.0000  0.0000  0.0000
Y  0.0000  0.5000  0.5000
Y  0.5000  0.0000  0.5000
Ga  0.0000  0.0000  0.5000
P  0.5000  0.5000  0.0000



Which one sits at the bottom of the stability order? i does.